Entry 1:
An optimized crystal structure of CsSnO2F. Source: the Alexandria database, functional GGA-PBE.

As for the total DFT energy (no corrections): -3.50 eV per atom. As for the uncorrected formation energy: -0.17 eV/atom. The calculation puts the volume at 21.4 Å³/atom. Its magnetization is 0.000 μB per formula unit. For the density of states at the Fermi level, the calculation gives 1.5 states/eV/cell.

Cell: 4.5800 4.5800 5.1047 Å, 90.00 90.00 90.00°
Space group P4/mmm (No. 123)
Inequivalent atoms, fractional coordinates:
Cs (0.0000, 0.0000, 0.0000) (multiplicity 1)
Sn (0.5000, 0.5000, 0.5000) (multiplicity 1)
O (0.0000, 0.5000, 0.0000) (multiplicity 2)
F (0.0000, 0.0000, 0.5000) (multiplicity 1)

=====

Entry 2:
An optimized crystal structure of Cs2SnOF6. Source: the Alexandria database, functional GGA-PBE.

As for the total DFT energy (no corrections): -4.38 eV per atom. As for the uncorrected formation energy: -2.19 eV/atom. The calculation puts the volume at 21.4 Å³/atom. Its magnetization is 2.000 μB per formula unit. For the density of states at the Fermi level, the calculation gives 0.0 states/eV/cell.

Cell: 6.5365 6.5365 10.0059 Å, 90.00 90.00 90.00°
Space group I4/mmm (No. 139)
Inequivalent atoms, fractional coordinates:
Cs (0.0000, 0.5000, 0.2500) (multiplicity 4)
Sn (0.0000, 0.0000, 0.0000) (multiplicity 2)
O (0.0000, 0.0000, 0.5000) (multiplicity 2)
F (0.0000, 0.0000, 0.2003) (multiplicity 4)
F (0.2169, 0.2169, 0.0000) (multiplicity 8)